No. 1
An optimized crystal structure of Ac3ZnHg. Source: the Alexandria database, functional PBE.

```
Ac3ZnHg
1.0
5.5387 0.0000 1.2657
0.0000 5.6773 0.0000
0.3854 0.0000 11.0646
Ac Hg Zn
6 2 2
Cartesian
3.3699 1.4193 6.2724 Ac
1.4795 4.2580 1.7931 Ac
4.2388 1.4193 2.4701 Ac
2.4969 1.4193 10.0921 Ac
0.6066 4.2580 5.6129 Ac
5.2764 4.2580 10.6809 Ac
3.8159 4.2580 4.3205 Hg
5.6992 1.4193 8.8305 Hg
1.0595 1.4193 3.6310 Zn
2.9169 4.2580 8.2543 Zn
```

E above lowest polymorph   0 meV per atom

No. 2
An optimized crystal structure of Ac8ZnHg2. Source: the Alexandria database, functional PBE.

```
Ac8ZnHg2
1.0
5.6762 0.0000 0.0000
0.0000 7.6174 0.2162
-2.8381 -3.0104 9.6061
Ac Zn Hg
8 1 2
Cartesian
2.8381 3.3441 5.9000 Ac
0.0000 -1.8680 6.4653 Ac
0.0000 5.7896 0.5849 Ac
2.8381 -1.1827 9.2374 Ac
0.0000 1.6678 8.0011 Ac
2.8381 6.4749 3.3570 Ac
0.0000 1.2628 3.9223 Ac
2.8381 2.9391 1.8212 Ac
2.8381 0.0000 0.0000 Zn
0.0000 4.5021 3.6279 Hg
2.8381 0.1048 6.1943 Hg
```

No. 3
An optimized crystal structure of Ac3ZnHg. Source: the Alexandria database, functional PBE.

```
Ac3ZnHg
1.0
7.7389 -1.0380 -0.8448
-1.2154 10.1833 0.8086
-1.2154 2.8593 9.8071
Ac Zn Hg
12 4 4
Cartesian
5.1326 8.7769 9.0776 Ac
2.4717 4.8517 8.5998 Ac
-0.6245 7.6257 6.8050 Ac
4.0450 0.8151 2.5973 Ac
-1.3978 9.9246 3.4271 Ac
6.7059 2.0800 6.3438 Ac
2.8365 7.1530 1.1711 Ac
3.2450 7.6925 5.6629 Ac
2.0631 4.3121 4.1080 Ac
0.1755 3.2277 0.6933 Ac
5.9326 4.3789 2.9659 Ac
1.2632 11.1895 7.1736 Ac
-0.3669 2.4363 4.0960 Zn
5.6751 9.5683 5.6749 Zn
1.8056 8.0183 8.6394 Zn
3.5025 3.9864 1.1316 Zn
4.5888 4.4894 6.2143 Hg
0.7193 9.6846 0.8914 Hg
4.5888 2.3201 8.8795 Hg
0.7193 7.5153 3.5567 Hg
```

E above lowest polymorph   97 meV per atom

No. 4
An optimized crystal structure of AcZnHg4. Source: the Alexandria database, functional PBE.

```
AcZnHg4
1.0
-2.4628 3.5130 -2.6087
-4.9159 0.2226 4.9407
5.7591 4.5521 5.5252
Zn Hg Ac
2 8 2
Cartesian
-3.8972 4.2785 4.6085 Zn
0.9815 4.0679 4.5513 Zn
-1.6751 4.7310 7.9524 Hg
-1.4442 2.9849 5.3831 Hg
1.9044 6.0349 6.3290 Hg
-5.7672 2.3542 3.7827 Hg
-2.9530 0.7862 3.8467 Hg
0.2511 5.2834 2.0454 Hg
1.8940 7.4760 3.4471 Hg
-2.3927 3.6674 2.3653 Hg
-1.2976 6.4364 5.0603 Ac
0.4174 1.8178 2.0538 Ac
```

E above lowest polymorph   6 meV per atom

No. 5
An optimized crystal structure of Ac4Zn3Hg. Source: the Alexandria database, functional PBE.

```
Ac4Zn3Hg
1.0
3.9439 0.0000 0.0000
0.0000 3.9439 0.0000
0.0000 0.0000 15.7940
Zn Ac Hg
3 4 1
Cartesian
1.9719 1.9719 11.7583 Zn
1.9719 1.9719 7.8970 Zn
1.9719 1.9719 4.0356 Zn
0.0000 0.0000 9.8531 Ac
0.0000 0.0000 2.1197 Ac
0.0000 0.0000 5.9409 Ac
0.0000 0.0000 13.6743 Ac
1.9719 1.9719 0.0000 Hg
```

E above lowest polymorph   0 meV per atom

No. 6
An optimized crystal structure of Ac3Zn2Hg3. Source: the Alexandria database, functional PBE.

```
Ac3Zn2Hg3
1.0
-3.4382 0.9998 -3.2665
2.8362 -5.5386 -1.0849
-11.1326 -7.5438 9.4089
Hg Ac Zn
6 6 4
Cartesian
-9.6922 -6.8557 4.5076 Hg
-6.5322 -4.1130 2.0210 Hg
-9.7832 -11.0738 6.9081 Hg
-1.9514 -1.0088 -1.8506 Hg
-5.2024 -7.9696 3.0365 Hg
-2.0424 -5.2269 0.5499 Hg
-7.4960 -9.5074 4.9800 Ac
-5.2589 -6.5387 -0.0618 Ac
-6.4757 -5.5439 5.1193 Ac
-9.7776 -7.7814 7.9099 Ac
-1.9570 -4.3012 -2.8524 Ac
-4.2386 -2.5752 0.0775 Ac
-7.7447 -7.0703 2.3920 Zn
-0.6864 -2.7738 -0.1265 Zn
-3.9899 -5.0123 2.6655 Zn
-11.0482 -9.3088 5.1840 Zn
```

No. 7
An optimized crystal structure of AcZnHg2. Source: the Alexandria database, functional PBE.

```
AcZnHg2
1.0
3.8064 0.0000 0.0000
0.0000 3.8064 0.0000
0.0000 0.0000 7.3190
Ac Zn Hg
1 1 2
Cartesian
1.9032 1.9032 3.6595 Ac
1.9032 1.9032 0.0000 Zn
0.0000 0.0000 1.5288 Hg
0.0000 0.0000 5.7902 Hg
```

No. 8
An optimized crystal structure of Ac3Zn5Hg6. Source: the Alexandria database, functional PBE.

```
Ac3Zn5Hg6
1.0
4.9011 0.0000 0.0000
0.0000 9.5342 0.0000
0.0000 0.0000 14.6451
Zn Hg Ac
10 12 6
Cartesian
2.4505 1.0508 2.3259 Zn
0.0000 7.0898 0.0000 Zn
0.0000 8.4833 4.9967 Zn
0.0000 5.1146 12.6309 Zn
2.4505 1.0508 12.3192 Zn
2.4505 4.4195 9.3367 Zn
0.0000 8.4833 9.6484 Zn
2.4505 2.4444 7.3225 Zn
2.4505 4.4195 5.3084 Zn
0.0000 5.1146 2.0141 Zn
0.0000 9.2802 12.5136 Hg
0.0000 4.0400 7.3225 Hg
2.4505 0.2540 5.1911 Hg
2.4505 5.4941 0.0000 Hg
2.4505 3.7188 2.3953 Hg
2.4505 3.7188 12.2498 Hg
2.4505 0.2540 9.4540 Hg
0.0000 0.5342 7.3225 Hg
0.0000 5.8154 4.9273 Hg
2.4505 9.0000 0.0000 Hg
0.0000 5.8154 9.7178 Hg
0.0000 9.2802 2.1315 Hg
2.4505 7.1468 11.6973 Ac
0.0000 2.3874 10.2703 Ac
0.0000 2.3874 4.3748 Ac
2.4505 7.1241 7.3225 Ac
2.4505 7.1468 2.9478 Ac
0.0000 2.4101 0.0000 Ac
```

No. 9
An optimized crystal structure of AcZn3Hg3. Source: the Alexandria database, functional PBE.

```
AcZn3Hg3
1.0
-1.2020 -0.2376 -7.8333
3.6026 -5.5266 -4.3976
-4.1361 -5.8365 -3.2007
Hg Zn Ac
6 6 2
Cartesian
-3.1267 -6.4913 -10.5591 Hg
1.6804 -6.6768 -10.2463 Hg
-0.2199 -9.2847 -6.6647 Hg
1.3912 -5.1095 -4.8725 Hg
-3.4159 -4.9240 -5.1853 Hg
-1.5156 -2.3161 -8.7669 Hg
-2.9052 -4.6321 -8.2772 Zn
-0.8132 -5.1121 -10.0298 Zn
-0.9223 -6.4887 -5.4018 Zn
1.1697 -6.9687 -7.1544 Zn
-1.1329 -3.8714 -6.2875 Zn
-0.6026 -7.7294 -9.1442 Zn
1.6002 -3.8430 -8.1539 Ac
-3.3357 -7.7578 -7.2777 Ac
```

No. 10
An optimized crystal structure of Ac3Zn3Hg2. Source: the Alexandria database, functional PBE.

```
Ac3Zn3Hg2
1.0
-1.6859 4.2843 1.5414
-2.8961 -2.0308 -5.1696
-10.9102 -7.5608 9.0822
Ac Hg Zn
6 4 6
Cartesian
-8.0924 -0.7569 0.8997 Ac
-10.5641 -6.7432 7.1884 Ac
-11.0684 -5.5846 3.4167 Ac
-4.4238 0.2774 2.0373 Ac
-4.9281 1.4359 -1.7343 Ac
-7.3998 -4.5504 4.5543 Ac
-12.9649 -4.5952 6.2388 Hg
-9.6885 -2.3246 3.5114 Hg
-5.8036 -2.9826 1.9426 Hg
-2.5273 -0.7121 -0.7848 Hg
-8.8701 -3.9867 1.3795 Zn
-6.6221 -1.3206 4.0745 Zn
-10.2958 -3.4906 6.0879 Zn
-13.4730 -7.1765 5.2111 Zn
-5.1963 -1.8167 -0.6339 Zn
-2.0192 1.8692 0.2429 Zn
```

No. 11
An optimized crystal structure of Ac4Zn2Hg. Source: the Alexandria database, functional PBE.

```
Ac4Zn2Hg
1.0
-2.5025 3.5318 -3.5071
-2.5230 -1.9360 -4.5742
-9.3036 -0.3320 1.8795
Zn Ac Hg
2 4 1
Cartesian
-3.5768 0.3166 -1.5537 Zn
-10.7523 0.9472 -4.6480 Zn
-6.3688 0.0004 0.1201 Ac
-4.4096 0.9439 -4.7525 Ac
-7.9603 1.2634 -6.3219 Ac
-9.9195 0.3199 -1.4493 Ac
0.0000 0.0000 0.0000 Hg
```

No. 12
An optimized crystal structure of Ac2Zn5Hg. Source: the Alexandria database, functional PBE.

```
Ac2Zn5Hg
1.0
-2.4138 2.7328 2.8058
3.4539 -6.3364 5.3709
7.6147 5.3153 1.3740
Ac Zn Hg
4 10 2
Cartesian
0.0000 0.0000 0.0000 Ac
5.8171 2.4488 6.3915 Ac
2.8377 -0.7371 3.1592 Ac
3.8074 2.6576 0.6870 Ac
-0.4234 -0.1096 3.5146 Zn
9.0782 1.8213 6.0361 Zn
3.7009 -2.6465 5.7616 Zn
4.9538 4.3582 3.7891 Zn
1.0574 -1.2126 5.8628 Zn
3.2073 2.4247 4.1697 Zn
7.5973 2.9242 3.6878 Zn
3.1950 0.2795 6.2485 Zn
5.4474 -0.7131 5.3810 Zn
5.4597 1.4322 3.3021 Zn
7.7003 -0.4135 7.0274 Hg
0.9545 2.1252 2.5233 Hg
```

E above lowest polymorph   0 meV per atom

Record order is preserved below.
E: -3.053 -3.323 -2.956 -1.349 -2.870 -2.367 -1.693 -1.770 -1.327 -2.439 -2.950 -2.181 eV/atom
Record order is preserved below.
Total magnetic moment: 0.00 0.00 0.00 0.00 0.00 0.00 0.00 0.00 0.00 0.00 0.00 0.00 μB/cell
Record order is preserved below.
Calculated formation energy: -0.273 -0.165 -0.176 -0.251 -0.300 -0.395 -0.196 -0.305 -0.065 -0.345 -0.195 -0.320 eV per atom